(1)
{"formula": "ZnGa2Ir3", "functional": "GGA-PBE", "state": "relaxed", "energy_ev_per_atom": -6.02, "lattice": [[3.0514, 0.0000, 0.0000], [0.0000, 3.0514, 0.0000], [0.0000, 0.0000, 9.1065]], "species": ["Ir", "Ir", "Ir", "Zn", "Ga", "Ga"], "fractional_positions": [[0.0000, 0.0000, 0.0000], [0.0000, 0.0000, 0.6710], [0.0000, 0.0000, 0.3290], [0.5000, 0.5000, 0.5000], [0.5000, 0.5000, 0.8285], [0.5000, 0.5000, 0.1715]]}

---

(2)
{"formula": "Ca3AcPr12", "functional": "GGA-PBE", "state": "relaxed", "energy_ev_per_atom": -4.16, "lattice": [[-0.0383, -4.8321, -2.2045], [3.8131, -1.5597, 3.3523], [-14.6957, -6.1948, 13.8334]], "species": ["Pr", "Pr", "Pr", "Pr", "Pr", "Pr", "Pr", "Pr", "Pr", "Pr", "Pr", "Pr", "Ac", "Ca", "Ca", "Ca"], "fractional_positions": [[0.5000, 0.5000, 0.0000], [0.0000, 0.5000, 0.3760], [0.5000, 0.0000, 0.3760], [0.5000, 0.0000, 0.6240], [0.5000, 0.5000, 0.2538], [0.0000, 0.5000, 0.6240], [0.5000, 0.0000, 0.1255], [0.5000, 0.5000, 0.5000], [0.5000, 0.5000, 0.7462], [0.0000, 0.5000, 0.1255], [0.5000, 0.0000, 0.8745], [0.0000, 0.5000, 0.8745], [0.0000, 0.0000, 0.0000], [0.0000, 0.0000, 0.2515], [0.0000, 0.0000, 0.7485], [0.0000, 0.0000, 0.5000]]}

---

(3)
{"formula": "BaMgGaPd", "functional": "GGA-PBE", "state": "relaxed", "energy_ev_per_atom": -3.41, "lattice": [[4.5163, 0.0000, 0.0000], [2.2582, 3.9113, 0.0000], [2.2582, 1.3038, 6.1329]], "species": ["Ga", "Pd", "Ba", "Mg"], "fractional_positions": [[0.6111, 0.6111, 0.1666], [0.2957, 0.2957, 0.1128], [0.8151, 0.8151, 0.5548], [0.0039, 0.0039, 0.9882]]}

---

(4)
{"formula": "SmSiW", "functional": "GGA-PBE", "state": "relaxed", "e_form_raw_kcal_per_mol_atoms": -9.5, "lattice": [[3.9295, 0.0000, 0.0000], [0.0000, 3.9295, 0.0000], [0.0000, 0.0000, 7.8866]], "species": ["W", "W", "Sm", "Sm", "Si", "Si"], "fractional_positions": [[0.5000, 0.5000, 0.5000], [0.0000, 0.0000, 0.5000], [0.5000, 0.0000, 0.1454], [0.0000, 0.5000, 0.8546], [0.0000, 0.5000, 0.2768], [0.5000, 0.0000, 0.7232]]}

---

(5)
{"formula": "BaTa2Br", "functional": "GGA-PBE", "state": "relaxed", "e_form_raw_kcal_per_mol_atoms": 23.1, "lattice": [[-0.5708, 4.7526, -1.2033], [-4.8852, -0.4493, 0.5428], [-1.8618, 4.7804, 9.6413]], "species": ["Ba", "Ba", "Ta", "Ta", "Ta", "Ta", "Br", "Br"], "fractional_positions": [[0.0000, 0.0000, 0.0000], [0.7500, 0.2500, 0.5000], [0.3750, 0.6115, 0.7500], [0.3615, 0.6250, 0.2500], [0.3885, 0.1250, 0.2500], [0.8750, 0.6385, 0.7500], [0.5000, 0.5000, 0.0000], [0.2500, 0.7500, 0.5000]]}

---

(6)
{"formula": "Pm2MnGa", "functional": "GGA-PBE", "state": "relaxed", "energy_ev_per_atom": -5.55, "lattice": [[3.6635, 0.0000, 0.0000], [0.0000, 3.6635, 0.0000], [0.0000, 0.0000, 7.2919]], "species": ["Pm", "Pm", "Ga", "Mn"], "fractional_positions": [[0.0000, 0.0000, 0.2532], [0.0000, 0.0000, 0.7468], [0.5000, 0.5000, 0.0000], [0.5000, 0.5000, 0.5000]]}

---

(7)
{"formula": "TmSc2I", "functional": "GGA-PBE", "state": "relaxed", "e_form_raw_kcal_per_mol_atoms": -5.1, "lattice": [[3.5937, 0.0000, 0.0000], [1.7968, 3.1122, 0.0000], [1.7968, 1.0374, 9.8230]], "species": ["Sc", "Sc", "Tm", "I"], "fractional_positions": [[0.7453, 0.7453, 0.7642], [0.2547, 0.2547, 0.2358], [0.5000, 0.5000, 0.5000], [0.0000, 0.0000, 0.0000]]}

---

(8)
{"formula": "PdRu3O", "functional": "GGA-PBE", "state": "relaxed", "e_form_raw_kcal_per_mol_atoms": 7.7, "lattice": [[4.0583, 0.0000, 0.0000], [0.0000, 4.0583, 0.0000], [0.0000, 0.0000, 4.0583]], "species": ["Pd", "Ru", "Ru", "Ru", "O"], "fractional_positions": [[0.5000, 0.5000, 0.5000], [0.5000, 0.0000, 0.0000], [0.0000, 0.0000, 0.5000], [0.0000, 0.5000, 0.0000], [0.0000, 0.0000, 0.0000]]}

---

(9)
{"formula": "Mg3Sn5Hg12", "functional": "GGA-PBE", "state": "relaxed", "energy_ev_per_atom": -1.30, "lattice": [[14.6361, 0.0000, 0.0000], [-4.8787, 13.7990, 0.0000], [-4.8787, -6.8995, 11.9503]], "species": ["Mg", "Mg", "Mg", "Mg", "Mg", "Mg", "Mg", "Mg", "Mg", "Mg", "Mg", "Mg", "Hg", "Hg", "Hg", "Hg", "Hg", "Hg", "Hg", "Hg", "Hg", "Hg", "Hg", "Hg", "Hg", "Hg", "Hg", "Hg", "Hg", "Hg", "Hg", "Hg", "Hg", "Hg", "Hg", "Hg", "Hg", "Hg", "Hg", "Hg", "Hg", "Hg", "Hg", "Hg", "Hg", "Hg", "Hg", "Hg", "Hg", "Hg", "Hg", "Hg", "Hg", "Hg", "Hg", "Hg", "Hg", "Hg", "Hg", "Hg", "Sn", "Sn", "Sn", "Sn", "Sn", "Sn", "Sn", "Sn", "Sn", "Sn", "Sn", "Sn", "Sn", "Sn", "Sn", "Sn", "Sn", "Sn", "Sn", "Sn"], "fractional_positions": [[0.2500, 0.1250, 0.3750], [0.2500, 0.6250, 0.8750], [0.8750, 0.7500, 0.1250], [0.6250, 0.3750, 0.7500], [0.1250, 0.8750, 0.7500], [0.1250, 0.2500, 0.8750], [0.7500, 0.8750, 0.6250], [0.7500, 0.3750, 0.1250], [0.3750, 0.7500, 0.6250], [0.3750, 0.6250, 0.2500], [0.6250, 0.2500, 0.3750], [0.8750, 0.1250, 0.2500], [0.7638, 0.3315, 0.9027], [0.0677, 0.4288, 0.8315], [0.7362, 0.1389, 0.0677], [0.4323, 0.6685, 0.0712], [0.4288, 0.0677, 0.3315], [0.2638, 0.4027, 0.8315], [0.8611, 0.5973, 0.9288], [0.6685, 0.4323, 0.5712], [0.5712, 0.6389, 0.4027], [0.7362, 0.5973, 0.1685], [0.3611, 0.9323, 0.7638], [0.8315, 0.9027, 0.2638], [0.9323, 0.5712, 0.1685], [0.0712, 0.9027, 0.1389], [0.3611, 0.4288, 0.0973], [0.2362, 0.5677, 0.6389], [0.9288, 0.8315, 0.5677], [0.2362, 0.6685, 0.0973], [0.1389, 0.4027, 0.0712], [0.6389, 0.5712, 0.9027], [0.5712, 0.9323, 0.6685], [0.4027, 0.2638, 0.3315], [0.8611, 0.2638, 0.4323], [0.0712, 0.1685, 0.4323], [0.3315, 0.7638, 0.4027], [0.5973, 0.7362, 0.6685], [0.1389, 0.7362, 0.5677], [0.5677, 0.3315, 0.9288], [0.0973, 0.9288, 0.3611], [0.6685, 0.2362, 0.5973], [0.2638, 0.8611, 0.9323], [0.3315, 0.5677, 0.4288], [0.0973, 0.1685, 0.2362], [0.5677, 0.2362, 0.1389], [0.7638, 0.4323, 0.3611], [0.1685, 0.0973, 0.7362], [0.6389, 0.0677, 0.2362], [0.0677, 0.6389, 0.7362], [0.1685, 0.0712, 0.9323], [0.4323, 0.7638, 0.8611], [0.4288, 0.3611, 0.5973], [0.9288, 0.0973, 0.8611], [0.9323, 0.3611, 0.2638], [0.9027, 0.8315, 0.7638], [0.5973, 0.8611, 0.4288], [0.9027, 0.0712, 0.6389], [0.8315, 0.9288, 0.0677], [0.4027, 0.1389, 0.5712], [0.8750, 0.6250, 0.7500], [0.1250, 0.7500, 0.3750], [0.5000, 0.5000, 0.5000], [0.0000, 0.0000, 0.0000], [0.0000, 0.5000, 0.0000], [0.6250, 0.8750, 0.2500], [0.6250, 0.7500, 0.8750], [0.8750, 0.2500, 0.6250], [0.7500, 0.6250, 0.3750], [0.5000, 0.5000, 0.0000], [0.3750, 0.2500, 0.1250], [0.5000, 0.0000, 0.5000], [0.5000, 0.0000, 0.0000], [0.3750, 0.1250, 0.7500], [0.7500, 0.1250, 0.8750], [0.0000, 0.0000, 0.5000], [0.2500, 0.8750, 0.1250], [0.2500, 0.3750, 0.6250], [0.0000, 0.5000, 0.5000], [0.1250, 0.3750, 0.2500]]}

---

(10)
{"formula": "RbSrMg", "functional": "GGA-PBE", "state": "relaxed", "energy_ev_per_atom": -1.27, "lattice": [[-2.9506, 2.2703, -2.1842], [-2.4361, 0.2533, 3.5542], [6.5446, 5.7990, 1.4515]], "species": ["Mg", "Sr", "Rb"], "fractional_positions": [[0.6823, 0.6823, 0.3647], [0.2971, 0.2971, 0.5943], [0.0205, 0.0205, 0.0411]]}

---

(11)
{"formula": "CeHfNiRu", "functional": "GGA-PBE", "state": "relaxed", "energy_ev_per_atom": -8.04, "lattice": [[4.7084, 0.0000, 0.0000], [2.3542, 4.0776, 0.0000], [2.3542, 1.3592, 3.8444]], "species": ["Ni", "Ru", "Hf", "Ce"], "fractional_positions": [[0.7500, 0.7500, 0.7500], [0.2500, 0.2500, 0.2500], [0.0000, 0.0000, 0.0000], [0.5000, 0.5000, 0.5000]]}

---

(12)
{"formula": "BiAsW2", "functional": "GGA-PBE", "state": "relaxed", "energy_ev_per_atom": -7.73, "lattice": [[0.0000, 3.2955, 3.2955], [3.2955, 0.0000, 3.2955], [3.2955, 3.2955, 0.0000]], "species": ["As", "W", "W", "Bi"], "fractional_positions": [[0.0000, 0.0000, 0.0000], [0.2500, 0.2500, 0.2500], [0.7500, 0.7500, 0.7500], [0.5000, 0.5000, 0.5000]]}

---

(13)
{"formula": "OsRh2Au", "functional": "GGA-PBE", "state": "relaxed", "energy_ev_per_atom": -7.02, "lattice": [[2.7639, 0.0000, 0.0000], [0.0000, 3.9170, 0.0000], [0.0000, 0.0000, 5.5885]], "species": ["Au", "Rh", "Rh", "Os"], "fractional_positions": [[0.0000, 0.0000, 0.4977], [0.0000, 0.0000, 0.9868], [0.5000, 0.5000, 0.2407], [0.5000, 0.5000, 0.7748]]}

---

(14)
{"formula": "CsRbNaAs", "functional": "GGA-PBE", "state": "relaxed", "energy_ev_per_atom": -2.26, "lattice": [[-5.0840, -0.5835, 1.2740], [3.7078, -0.3124, 3.7384], [-1.3521, 8.0492, -1.7091]], "species": ["Cs", "Rb", "Na", "As"], "fractional_positions": [[0.6506, 0.3011, 0.5937], [0.8269, 0.6538, 0.1228], [0.4114, 0.8227, 0.8761], [0.0775, 0.1550, 0.8747]]}

---

(15)
{"formula": "Ac2SiIr", "functional": "GGA-PBE", "state": "relaxed", "e_form_raw_kcal_per_mol_atoms": -8.4, "lattice": [[-1.3536, 1.3178, 3.1756], [2.4343, -2.0427, 1.8853], [5.2759, 6.0470, -0.2605]], "species": ["Ac", "Ac", "Si", "Ir"], "fractional_positions": [[0.0000, 0.0000, 0.2287], [0.0000, 0.0000, 0.7713], [0.5000, 0.5000, 0.5000], [0.5000, 0.5000, 0.0000]]}

---

(16)
{"formula": "GaSiAsSe2", "functional": "GGA-PBE", "state": "relaxed", "e_form_raw_kcal_per_mol_atoms": 6.9, "lattice": [[4.9178, 0.0000, 0.0000], [0.0000, 4.9178, 0.0000], [0.0000, 0.0000, 4.7931]], "species": ["As", "Se", "Se", "Ga", "Si"], "fractional_positions": [[0.0000, 0.0000, 0.5000], [0.5000, 0.0000, 0.0000], [0.0000, 0.5000, 0.0000], [0.5000, 0.5000, 0.5000], [0.0000, 0.0000, 0.0000]]}

---

| no. | mass density (Mg/m³) |
| --- | --- |
| 1 | 15.30 |
| 2 | 5.68 |
| 3 | 5.18 |
| 4 | 9.88 |
| 5 | 7.63 |
| 6 | 7.04 |
| 7 | 5.83 |
| 8 | 10.57 |
| 9 | 8.46 |
| 10 | 2.11 |
| 11 | 10.76 |
| 12 | 15.12 |
| 13 | 16.28 |
| 14 | 2.81 |
| 15 | 10.21 |
| 16 | 4.74 |